Entry 1:
A plane-wave DFT calculation with PBE was carried out for crystalline Al2Zn4Cu at its relaxed geometry.

Cell: 6.656 6.656 7.469 Å, 123.30 123.30 70.28°
Sites, in units of the cell vectors:
1 Al 0.044 0.956 0.500
2 Al 0.509 0.905 0.887
3 Al 0.905 0.509 0.387
4 Al 0.956 0.044 0.000
5 Zn 0.175 0.302 0.967
6 Zn 0.239 0.624 0.816
7 Zn 0.302 0.175 0.467
8 Zn 0.324 0.560 0.443
9 Zn 0.560 0.324 0.943
10 Zn 0.580 0.816 0.242
11 Zn 0.624 0.239 0.316
12 Zn 0.816 0.580 0.742
13 Cu 0.162 0.755 0.170
14 Cu 0.755 0.162 0.670

Summary:
- Energy relative to the elements: 0.054 eV/atom
- Symmetry: Cc
- Spin magnetization: 0.000 μB per cell

=====

Entry 2:
A plane-wave DFT calculation with PBE was carried out for crystalline YTmSe3 at its relaxed geometry.

Cell: 8.013 4.022 8.144 Å, 90.00 95.16 90.00°
Sites, in units of the cell vectors:
1 Y 0.117 0.250 0.271
2 Y 0.883 0.750 0.729
3 Tm 0.355 0.750 0.822
4 Tm 0.645 0.250 0.178
5 Se 0.122 0.250 0.890
6 Se 0.183 0.750 0.520
7 Se 0.395 0.750 0.179
8 Se 0.605 0.250 0.821
9 Se 0.817 0.250 0.480
10 Se 0.878 0.750 0.110

Summary:
- Energy relative to the elements, uncorrected: -1.834 eV per atom
- Symmetry: P2_1/m
- Spin magnetization: 0.000 μB per cell
- Distance to the lowest polymorph of the same formula: 0.017 eV/atom